CaNiP2O7 | PBE with a Hubbard U | optimized geometry

* D(E_F): 0.00 states/eV/f.u.
* E_tot: -151.15 eV for the cell shown

abc: 6.4702 6.5669 6.7049
angles: 66.29 87.26 82.51
Space group P-1 (No. 2)
Inequivalent atoms, fractional coordinates:
Ca: 0.1438 0.2284 0.3270
Ni: 0.3525 0.4004 0.7238
P: 0.1431 0.7284 0.2515
P: 0.3735 0.8575 0.8320
O: 0.0276 0.3997 0.7786
O: 0.0678 0.8841 0.3623
O: 0.2217 0.8893 0.0201
O: 0.2738 0.7057 0.7529
O: 0.3306 0.5502 0.3670
O: 0.3752 0.0993 0.6621
O: 0.4107 0.2461 0.0615